(1)
{"formula": "Zn2CoSiHg", "functional": "GGA-PBEsol", "state": "relaxed", "e_form_raw_ev_per_atom": 1.22, "spacegroup": "P4/mmm", "lattice_angstrom": [[4.753, 0.000, 0.000], [0.000, 4.753, 0.000], [0.000, 0.000, 4.821]], "species": ["Zn", "Zn", "Co", "Si", "Hg"], "fractional_positions": [[0.000, 0.500, 0.000], [0.500, 0.000, 0.000], [0.000, 0.000, 0.500], [0.500, 0.500, 0.500], [0.000, 0.000, 0.000]]}

(2)
{"formula": "TaSb2As", "functional": "GGA-PBEsol", "state": "relaxed", "e_form_raw_ev_per_atom": 0.00, "spacegroup": "R3m", "lattice_angstrom": [[1.639, 0.946, 9.423], [-1.639, 0.946, 9.423], [0.000, -1.892, 9.423]], "species": ["Ta", "Sb", "Sb", "As"], "fractional_positions": [[0.000, 0.000, 0.000], [0.516, 0.516, 0.516], [0.744, 0.744, 0.744], [0.272, 0.272, 0.272]]}

(3)
{"formula": "Ba2MgCl", "functional": "GGA-PBEsol", "state": "relaxed", "relative_energy_ev_per_fu": 0.25, "e_form_raw_ev_per_atom": -0.77, "spacegroup": "Imm2", "lattice_angstrom": [[-1.995, 2.251, 8.574], [1.995, -2.251, 8.574], [1.995, 2.251, -8.574]], "species": ["Ba", "Ba", "Mg", "Cl"], "fractional_positions": [[0.000, 0.000, 0.000], [0.721, 0.221, 0.500], [0.389, 0.389, 0.000], [0.160, 0.660, 0.500]]}

(4)
{"formula": "MgBeNi", "functional": "GGA-PBEsol", "state": "relaxed", "dft_energy_ev_per_atom": -3.177, "spacegroup": "F-43m", "lattice_angstrom": [[0.000, 2.811, 2.811], [2.811, 0.000, 2.811], [2.811, 2.811, 0.000]], "species": ["Mg", "Be", "Ni"], "fractional_positions": [[0.000, 0.000, 0.000], [0.250, 0.250, 0.250], [0.750, 0.750, 0.750]]}

(5)
{"formula": "Ta17Os12", "functional": "GGA-PBEsol", "state": "relaxed", "dft_energy_ev_per_atom": -12.710, "spacegroup": "I-43m", "lattice_angstrom": [[-4.900, 4.900, 4.900], [4.900, -4.900, 4.900], [4.900, 4.900, -4.900]], "species": ["Ta", "Ta", "Ta", "Ta", "Ta", "Ta", "Ta", "Ta", "Ta", "Ta", "Ta", "Ta", "Ta", "Ta", "Ta", "Ta", "Ta", "Os", "Os", "Os", "Os", "Os", "Os", "Os", "Os", "Os", "Os", "Os", "Os"], "fractional_positions": [[0.000, 0.000, 0.000], [0.000, 0.000, 0.346], [0.000, 0.317, 0.604], [0.000, 0.346, 0.000], [0.000, 0.604, 0.317], [0.287, 0.683, 0.683], [0.317, 0.000, 0.604], [0.317, 0.604, 0.000], [0.346, 0.000, 0.000], [0.396, 0.396, 0.713], [0.396, 0.713, 0.396], [0.604, 0.000, 0.317], [0.604, 0.317, 0.000], [0.654, 0.654, 0.654], [0.683, 0.287, 0.683], [0.683, 0.683, 0.287], [0.713, 0.396, 0.396], [0.000, 0.627, 0.809], [0.000, 0.809, 0.627], [0.183, 0.373, 0.373], [0.191, 0.191, 0.817], [0.191, 0.817, 0.191], [0.373, 0.183, 0.373], [0.373, 0.373, 0.183], [0.627, 0.000, 0.809], [0.627, 0.809, 0.000], [0.809, 0.000, 0.627], [0.809, 0.627, 0.000], [0.817, 0.191, 0.191]]}

(6)
{"formula": "Tb2O3", "functional": "GGA-PBEsol", "state": "relaxed", "e_form_raw_ev_per_atom": -3.58, "spacegroup": "P-3m1", "lattice_angstrom": [[3.664, 0.000, 0.000], [-1.832, 3.173, 0.000], [0.000, 0.000, 5.783]], "species": ["Tb", "Tb", "O", "O", "O"], "fractional_positions": [[0.333, 0.667, 0.248], [0.667, 0.333, 0.752], [0.000, 0.000, 0.000], [0.333, 0.667, 0.646], [0.667, 0.333, 0.354]]}

(7)
{"formula": "RbTaSb2", "functional": "GGA-PBEsol", "state": "relaxed", "relative_energy_ev_per_fu": 1.21, "e_form_raw_ev_per_atom": 0.57, "spacegroup": "Fm-3m", "lattice_angstrom": [[0.000, 3.666, 3.666], [3.666, 0.000, 3.666], [3.666, 3.666, 0.000]], "species": ["Rb", "Ta", "Sb", "Sb"], "fractional_positions": [[0.000, 0.000, 0.000], [0.500, 0.500, 0.500], [0.250, 0.250, 0.250], [0.750, 0.750, 0.750]]}

(8)
{"formula": "FeCo2", "functional": "GGA-PBEsol", "state": "relaxed", "dft_energy_ev_per_atom": -8.106, "spacegroup": "I4/mmm", "lattice_angstrom": [[-1.226, 1.226, 5.310], [1.226, -1.226, 5.310], [1.226, 1.226, -5.310]], "species": ["Fe", "Co", "Co"], "fractional_positions": [[0.000, 0.000, 0.000], [0.328, 0.328, 0.000], [0.672, 0.672, 0.000]]}

(9)
{"formula": "LaAlIr", "functional": "GGA-PBEsol", "state": "relaxed", "dft_energy_ev_per_atom": -6.988, "spacegroup": "I4mm", "lattice_angstrom": [[-1.571, 1.571, 5.953], [1.571, -1.571, 5.953], [1.571, 1.571, -5.953]], "species": ["La", "Al", "Ir"], "fractional_positions": [[0.000, 0.000, 0.000], [0.715, 0.715, 0.000], [0.320, 0.320, 0.000]]}

(10)
{"formula": "CaBe3W", "functional": "GGA-PBEsol", "state": "relaxed", "dft_energy_ev_per_atom": -4.709, "spacegroup": "Pm-3m", "lattice_angstrom": [[4.442, 0.000, 0.000], [0.000, 4.442, 0.000], [0.000, 0.000, 4.442]], "species": ["Ca", "Be", "Be", "Be", "W"], "fractional_positions": [[0.000, 0.000, 0.000], [0.000, 0.500, 0.500], [0.500, 0.000, 0.500], [0.500, 0.500, 0.000], [0.500, 0.500, 0.500]]}

(11)
{"formula": "TlSbOF2", "functional": "GGA-PBEsol", "state": "relaxed", "e_form_raw_ev_per_atom": -1.56, "spacegroup": "P4/mmm", "lattice_angstrom": [[4.553, 0.000, 0.000], [0.000, 4.553, 0.000], [0.000, 0.000, 4.243]], "species": ["Tl", "Sb", "O", "F", "F"], "fractional_positions": [[0.000, 0.000, 0.000], [0.500, 0.500, 0.500], [0.500, 0.500, 0.000], [0.000, 0.500, 0.500], [0.500, 0.000, 0.500]]}

(12)
{"formula": "LiCr2", "functional": "GGA-PBEsol", "state": "relaxed", "dft_energy_ev_per_atom": -6.996, "spacegroup": "C2/m", "lattice_angstrom": [[5.077, -1.123, 0.000], [5.077, 1.123, 0.000], [-1.020, 0.000, 6.057]], "species": ["Li", "Li", "Cr", "Cr", "Cr", "Cr"], "fractional_positions": [[0.208, 0.208, 0.152], [0.792, 0.792, 0.848], [0.133, 0.133, 0.509], [0.475, 0.475, 0.187], [0.525, 0.525, 0.813], [0.867, 0.867, 0.491]]}

(13)
{"formula": "CaTc2Se", "functional": "GGA-PBEsol", "state": "relaxed", "e_form_raw_ev_per_atom": 0.21, "spacegroup": "Immm", "lattice_angstrom": [[-1.494, 2.281, 4.973], [1.494, -2.281, 4.973], [1.494, 2.281, -4.973]], "species": ["Ca", "Tc", "Tc", "Se"], "fractional_positions": [[0.000, 0.000, 0.000], [0.289, 0.789, 0.500], [0.711, 0.211, 0.500], [0.500, 0.500, 0.000]]}

(14)
{"formula": "PbAuSe", "functional": "GGA-PBEsol", "state": "relaxed", "e_form_raw_ev_per_atom": 0.11, "spacegroup": "F-43m", "lattice_angstrom": [[0.000, 3.381, 3.381], [3.381, 0.000, 3.381], [3.381, 3.381, 0.000]], "species": ["Pb", "Au", "Se"], "fractional_positions": [[0.000, 0.000, 0.000], [0.500, 0.500, 0.500], [0.750, 0.750, 0.750]]}

(15)
{"formula": "TiSiAg2", "functional": "GGA-PBEsol", "state": "relaxed", "e_form_raw_ev_per_atom": 0.08, "spacegroup": "I-42d", "lattice_angstrom": [[-1.850, 1.850, 9.881], [1.850, -1.850, 9.881], [1.850, 1.850, -9.881]], "species": ["Ti", "Ti", "Si", "Si", "Ag", "Ag", "Ag", "Ag"], "fractional_positions": [[0.000, 0.000, 0.000], [0.750, 0.250, 0.500], [0.250, 0.750, 0.500], [0.500, 0.500, 0.000], [0.129, 0.625, 0.004], [0.375, 0.379, 0.504], [0.621, 0.125, 0.996], [0.875, 0.871, 0.496]]}

(16)
{"formula": "ZrSi2Rh", "functional": "GGA-PBEsol", "state": "relaxed", "e_form_raw_ev_per_atom": -0.35, "spacegroup": "F-43m", "lattice_angstrom": [[0.000, 3.144, 3.144], [3.144, 0.000, 3.144], [3.144, 3.144, 0.000]], "species": ["Zr", "Si", "Si", "Rh"], "fractional_positions": [[0.000, 0.000, 0.000], [0.250, 0.250, 0.250], [0.500, 0.500, 0.500], [0.750, 0.750, 0.750]]}

(17)
{"formula": "AsOF2", "functional": "GGA-PBEsol", "state": "relaxed", "e_form_raw_ev_per_atom": -0.68, "spacegroup": "I-42d", "lattice_angstrom": [[-1.700, 1.700, 7.309], [1.700, -1.700, 7.309], [1.700, 1.700, -7.309]], "species": ["As", "As", "O", "O", "F", "F", "F", "F"], "fractional_positions": [[0.000, 0.000, 0.000], [0.750, 0.250, 0.500], [0.250, 0.750, 0.500], [0.500, 0.500, 0.000], [0.098, 0.625, 0.973], [0.375, 0.348, 0.473], [0.652, 0.125, 0.027], [0.875, 0.902, 0.527]]}

(18)
{"formula": "Sr4ScMn", "functional": "GGA-PBEsol", "state": "relaxed", "dft_energy_ev_per_atom": -3.019, "spacegroup": "F-43m", "lattice_angstrom": [[0.000, 4.931, 4.931], [4.931, 0.000, 4.931], [4.931, 4.931, 0.000]], "species": ["Sr", "Sr", "Sr", "Sr", "Sc", "Mn"], "fractional_positions": [[0.125, 0.125, 0.125], [0.125, 0.125, 0.626], [0.125, 0.626, 0.125], [0.626, 0.125, 0.125], [0.750, 0.750, 0.750], [0.500, 0.500, 0.500]]}

(19)
{"formula": "Ti3InAg", "functional": "GGA-PBEsol", "state": "relaxed", "dft_energy_ev_per_atom": -5.419, "spacegroup": "Pm-3m", "lattice_angstrom": [[4.783, 0.000, 0.000], [0.000, 4.783, 0.000], [0.000, 0.000, 4.783]], "species": ["Ti", "Ti", "Ti", "In", "Ag"], "fractional_positions": [[0.000, 0.000, 0.500], [0.000, 0.500, 0.000], [0.500, 0.000, 0.000], [0.500, 0.500, 0.500], [0.000, 0.000, 0.000]]}

(20)
{"formula": "CsK2NiTe", "functional": "GGA-PBEsol", "state": "relaxed", "e_form_raw_ev_per_atom": -0.05, "spacegroup": "P4/mmm", "lattice_angstrom": [[6.771, 0.000, 0.000], [0.000, 6.771, 0.000], [0.000, 0.000, 4.760]], "species": ["Cs", "K", "K", "Ni", "Te"], "fractional_positions": [[0.000, 0.000, 0.000], [0.000, 0.500, 0.500], [0.500, 0.000, 0.500], [0.500, 0.500, 0.000], [0.500, 0.500, 0.500]]}

Table of V (Å³ per cell), in record order: 108.9, 87.6, 154.1, 44.4, 470.6, 67.2, 98.6, 31.9, 58.7, 87.7, 87.9, 69.1, 67.8, 77.3, 135.2, 62.1, 84.5, 239.7, 109.4, 218.2